1.
Crystalline PmPuSbSe at its relaxed geometry, computed with PBE.

Properties
- DFT total energy: -7.720 eV per atom
- Density of states at the Fermi level: 2.014 states/eV/atom
- Space-group type: F-43m, No. 216
- Uncorrected formation energy: -1.05 eV/atom
- Polymorph energy (0 for the lowest one): 1.04 eV/f.u.
- Total moment: 5.91 μB per cell

Cell lengths 5.2967, 5.2967, 5.2967 Å; angles 60.00, 60.00, 60.00 degrees
Site moments in Bohr magnetons follow the coordinates.
Fractional coordinates of all 4 atoms:
Pm 0.5000 0.5000 0.5000  -0.24
Pu 0.0000 0.0000 0.0000  -5.44
Sb 0.7500 0.7500 0.7500  0.10
Se 0.2500 0.2500 0.2500  0.10

2.
Crystalline PmPuSbSe at its relaxed geometry, computed with PBE.

Properties
- DFT total energy: -7.978 eV per atom
- Density of states at the Fermi level: 2.736 states/eV/atom
- Space-group type: R3m, No. 160
- Uncorrected formation energy: -1.31 eV/atom
- Polymorph energy (0 for the lowest one): 0.00 eV/f.u.
- Total moment: 5.61 μB per cell

Cell lengths 4.3362, 4.3362, 7.4535 Å; angles 73.09, 73.09, 60.00 degrees
Site moments in Bohr magnetons follow the coordinates.
Fractional coordinates of all 4 atoms:
Se 0.1961 0.1961 0.4117  -0.06
Sb 0.6927 0.6927 0.9219  -0.06
Pu 0.9392 0.9392 0.1824  5.37
Pm 0.4484 0.4484 0.6548  0.04

> Which value of polymorph energy (0 for the lowest one) does entry 2 give?

0.00 eV/f.u.

> polymorph energy (0 for the lowest one) of number 1 (PmPuSbSe)?

1.04 eV/f.u.

Repeat the first record exactly.
Crystalline PmPuSbSe at its relaxed geometry, computed with PBE.

Properties
- DFT total energy: -7.720 eV per atom
- Density of states at the Fermi level: 2.014 states/eV/atom
- Space-group type: F-43m, No. 216
- Uncorrected formation energy: -1.05 eV/atom
- Polymorph energy (0 for the lowest one): 1.04 eV/f.u.
- Total moment: 5.91 μB per cell

Cell lengths 5.2967, 5.2967, 5.2967 Å; angles 60.00, 60.00, 60.00 degrees
Site moments in Bohr magnetons follow the coordinates.
Fractional coordinates of all 4 atoms:
Pm 0.5000 0.5000 0.5000  -0.24
Pu 0.0000 0.0000 0.0000  -5.44
Sb 0.7500 0.7500 0.7500  0.10
Se 0.2500 0.2500 0.2500  0.10